[1]
Computed, not measured: TlBiAu2Se after structural relaxation at the PBE level of DFT.

## Properties
Space group = No. 123
Fermi-level density of states = 2.05 states/eV/cell
Mass density = 8.40 g cm⁻³
Crystal system = tetragonal
Energy relative to the elements, uncorrected = 552 meV/atom

Cell and atoms, written as POSCAR:
```
TlBiAu2Se
1.0
-1.998 4.362 -2.309
-4.456 -3.414 -2.592
-3.104 0.827 4.247
Au Bi Se Tl
2 1 1 1
direct
0.500 0.000 0.000 Au
0.000 0.000 0.500 Au
0.000 0.000 0.000 Bi
0.500 0.500 0.500 Se
0.000 0.500 0.000 Tl
```

[2]
Computed, not measured: CeHgBiRh after structural relaxation at the PBE level of DFT.

## Properties
Space group = No. 216
Fermi-level density of states = 4.12 states/eV/cell
Mass density = 11.63 g cm⁻³
Crystal system = cubic
Calculated formation energy = -0.349 eV per atom

Cell and atoms, written as POSCAR:
```
CeHgBiRh
1.0
-1.324 -2.038 -4.471
3.531 -0.804 -3.575
1.420 -4.749 -1.152
Bi Ce Hg Rh
1 1 1 1
direct
0.750 0.750 0.750 Bi
0.250 0.250 0.250 Ce
0.500 0.500 0.500 Hg
0.000 0.000 0.000 Rh
```

[3]
Computed, not measured: Sr2ZnNi2 after structural relaxation at the PBE level of DFT.

## Properties
Space group = No. 166
Fermi-level density of states = 4.44 states/eV/cell
Mass density = 4.28 g cm⁻³
Crystal system = trigonal
Calculated formation energy = -0.160 eV per atom

Cell and atoms, written as POSCAR:
```
Sr2ZnNi2
1.0
4.042 0.000 1.160
1.854 3.591 1.160
-0.504 -0.307 9.377
Ni Sr Zn
2 2 1
direct
0.681 0.681 0.957 Ni
0.319 0.319 0.043 Ni
0.576 0.576 0.273 Sr
0.424 0.424 0.727 Sr
0.000 0.000 0.000 Zn
```